Density functional theory data (PBE-GGA) for a relaxed Ca2TlSe crystal.

The structure in CIF format:
```
data_Ca2TlSe
_chemical_formula_sum 'Ca8 Tl4 Se4'
_symmetry_space_group_name_H-M 'F m -3 m'
_symmetry_Int_Tables_number 225
_symmetry_space_group_name_Hall '-F 4 2 3'
_cell_length_a 7.618
_cell_length_b 7.618
_cell_length_c 7.618
_cell_angle_alpha 90.00
_cell_angle_beta 90.00
_cell_angle_gamma 90.00
loop_
_atom_site_label
_atom_site_type_symbol
_atom_site_fract_x
_atom_site_fract_y
_atom_site_fract_z
_atom_site_occupancy
Ca1 Ca 0.250 0.250 0.250 1
Tl1 Tl 0.000 0.000 0.000 1
Se1 Se 0.000 0.000 0.500 1
```

Summary:
energy above the lowest structure with this stoichiometry: 37.2 kJ per mole of atoms
DOS(E_F): 0.87 states/eV per atom
formation energy (no corrections): -0.712 eV/atom

***

Density functional theory data (PBE-GGA) for a relaxed NbI2Br crystal.

The structure in CIF format:
```
data_NbI2Br
_chemical_formula_sum 'Nb4 I8 Br4'
_symmetry_space_group_name_H-M 'F m -3 m'
_symmetry_Int_Tables_number 225
_symmetry_space_group_name_Hall '-F 4 2 3'
_cell_length_a 7.489
_cell_length_b 7.489
_cell_length_c 7.489
_cell_angle_alpha 90.00
_cell_angle_beta 90.00
_cell_angle_gamma 90.00
loop_
_atom_site_label
_atom_site_type_symbol
_atom_site_fract_x
_atom_site_fract_y
_atom_site_fract_z
_atom_site_occupancy
Nb1 Nb 0.000 0.000 0.000 1
I1 I 0.250 0.250 0.250 1
Br1 Br 0.000 0.000 0.500 1
```

Summary:
energy above the lowest structure with this stoichiometry: 72.9 kJ per mole of atoms
DOS(E_F): 0.16 states/eV per atom
formation energy (no corrections): 0.340 eV/atom

***

Density functional theory data (PBE-GGA) for a relaxed InB3Rh crystal.

The structure in CIF format:
```
data_InB3Rh
_chemical_formula_sum 'In1 B3 Rh1'
_symmetry_space_group_name_H-M 'P m -3 m'
_symmetry_Int_Tables_number 221
_symmetry_space_group_name_Hall '-P 4 2 3'
_cell_length_a 4.328
_cell_length_b 4.328
_cell_length_c 4.328
_cell_angle_alpha 90.00
_cell_angle_beta 90.00
_cell_angle_gamma 90.00
loop_
_atom_site_label
_atom_site_type_symbol
_atom_site_fract_x
_atom_site_fract_y
_atom_site_fract_z
_atom_site_occupancy
In1 In 0.000 0.000 0.000 1
B1 B 0.000 0.000 0.500 1
Rh1 Rh 0.500 0.500 0.500 1
```

Summary:
calculated formation energy: 2.531 eV per atom
energy above the lowest structure with this stoichiometry: 143.4 kJ per mole of atoms
DOS(E_F): 0.95 states/eV per atom